Record 1
Here is TbTmAsSe after structural relaxation from the Alexandria database. Energies are from PBE.

## Properties
Raw formation energy, eV/atom: -1.60
Calculated volume, Å³ per atom: 24.53
Space group: R3m, No. 160

Cell: 4.007 4.008 7.426 Å, 90.00 105.65 120.00°
Fractional positions:
1 Se 0.970 0.383 0.368
2 Tb 0.122 0.959 0.096
3 Tm 0.483 0.140 0.638
4 As 0.302 0.549 0.867



Record 2
Here is Tb8ZnAs3Se4 after structural relaxation from the Alexandria database. Energies are from PBE.

## Properties
Raw formation energy, eV/atom: -1.54
Calculated volume, Å³ per atom: 24.79
Space group: R-3m, No. 166

Cell: 8.230 8.265 8.230 Å, 119.86 120.00 90.00°
Fractional positions:
1 Zn 0.000 0.500 0.000
2 Tb 0.248 0.743 0.995
3 As 0.500 0.500 0.500
4 Tb 0.752 0.257 0.505
5 As 0.500 0.500 0.000
6 Se 0.000 0.000 0.000
7 Tb 0.254 0.263 0.508
8 Tb 0.747 0.743 0.995
9 Se 0.500 0.000 0.000
10 Se 0.500 0.000 0.500
11 Tb 0.248 0.743 0.495
12 Tb 0.746 0.737 0.492
13 As 0.000 0.500 0.500
14 Se 0.000 0.000 0.500
15 Tb 0.253 0.257 0.005
16 Tb 0.752 0.257 0.005